Here is crystalline V4ReW5 at its relaxed geometry from Alexandria. Energies are from GGA-PBE.

Calculated values
The offset from the most stable computed form comes out at 0.000 eV per atom. Its total energy is -114.71 eV per cell. The density of states at the Fermi level comes out at 4.98 states/eV/cell. For the formation energy, the calculation gives -102 meV per atom.

```
V4ReW5
1.0
-2.182 -0.593 -2.119
1.753 -2.271 -1.171
-6.643 -10.112 9.668
W V Re
5 4 1
direct
0.500 0.500 0.301
0.500 0.500 0.104
0.500 0.500 0.699
0.500 0.500 0.500
0.500 0.500 0.896
0.000 0.000 0.401
0.000 0.000 0.203
0.000 0.000 0.797
0.000 0.000 0.599
0.000 0.000 0.000
```


Here is crystalline V2ReW2 at its relaxed geometry from Alexandria. Energies are from GGA-PBE.

Calculated values
The offset from the most stable computed form comes out at 0.234 eV per atom. Its total energy is -54.02 eV per cell. The density of states at the Fermi level comes out at 4.13 states/eV/cell. For the formation energy, the calculation gives 514 meV per atom.

```
V2ReW2
1.0
-2.948 -0.185 -0.633
-1.656 -4.846 1.924
-2.595 0.231 4.810
Re W V
1 2 2
direct
0.000 0.000 0.000
0.762 0.738 0.738
0.238 0.262 0.262
0.500 0.320 0.680
0.500 0.680 0.320
```


Here is crystalline V3ReW at its relaxed geometry from Alexandria. Energies are from GGA-PBE.

Calculated values
The offset from the most stable computed form comes out at 0.000 eV per atom. Its total energy is -107.74 eV per cell. The density of states at the Fermi level comes out at 5.88 states/eV/cell. For the formation energy, the calculation gives -222 meV per atom.

```
V3ReW
1.0
-3.076 -2.959 -0.665
2.199 -1.527 -3.380
5.206 -3.353 4.903
V Re W
6 2 2
direct
0.063 0.844 0.407
0.963 0.345 0.208
0.263 0.844 0.807
0.763 0.344 0.808
0.463 0.845 0.208
0.563 0.344 0.407
0.364 0.344 0.010
0.662 0.844 0.605
0.864 0.844 0.010
0.162 0.344 0.605
```


Here is crystalline V6Re2W at its relaxed geometry from Alexandria. Energies are from GGA-PBE.

Calculated values
The offset from the most stable computed form comes out at 0.400 eV per atom. Its total energy is -90.81 eV per cell. The density of states at the Fermi level comes out at 8.26 states/eV/cell. For the formation energy, the calculation gives 195 meV per atom.

```
V6Re2W
1.0
-4.508 0.510 -4.801
-3.419 -3.526 0.702
-4.368 1.093 2.083
V Re W
6 2 1
direct
0.298 0.798 0.313
0.534 0.243 0.243
0.702 0.202 0.687
0.298 0.313 0.798
0.702 0.687 0.202
0.466 0.757 0.757
0.881 0.674 0.674
0.119 0.326 0.326
0.000 0.000 0.000
```


Here is crystalline VReW at its relaxed geometry from Alexandria. Energies are from GGA-PBE.

Calculated values
The offset from the most stable computed form comes out at 0.530 eV per atom. Its total energy is -67.04 eV per cell. The density of states at the Fermi level comes out at 5.59 states/eV/cell. For the formation energy, the calculation gives 334 meV per atom.

```
VReW
1.0
4.622 0.000 0.000
0.000 2.679 -0.967
0.000 1.070 7.158
V W Re
2 2 2
direct
0.999 0.000 0.000
0.499 0.000 0.000
0.749 0.816 0.632
0.249 0.184 0.368
0.749 0.636 0.271
0.249 0.364 0.729
```


Here is crystalline VRe2W4 at its relaxed geometry from Alexandria. Energies are from GGA-PBE.

Calculated values
Its total energy is -165.45 eV per cell. The density of states at the Fermi level comes out at 12.06 states/eV/cell. For the formation energy, the calculation gives 443 meV per atom.

```
VRe2W4
1.0
-0.882 3.355 -2.733
-5.103 -0.692 0.798
0.352 6.554 7.931
Re V W
4 2 8
direct
0.500 0.781 0.831
0.500 0.281 0.669
0.500 0.719 0.331
0.500 0.219 0.169
0.000 0.000 0.000
0.000 0.500 0.500
0.000 0.985 0.267
0.000 0.015 0.733
0.500 0.235 0.423
0.500 0.735 0.077
0.000 0.485 0.233
0.000 0.515 0.767
0.500 0.765 0.577
0.500 0.265 0.923
```


Here is crystalline V2ReW4 at its relaxed geometry from Alexandria. Energies are from GGA-PBE.

Calculated values
Its total energy is -160.47 eV per cell. The density of states at the Fermi level comes out at 10.08 states/eV/cell. For the formation energy, the calculation gives 323 meV per atom.

```
V2ReW4
1.0
-2.066 -3.852 -3.055
4.683 1.611 -1.979
4.022 -5.897 4.716
V W Re
4 8 2
direct
0.748 0.252 0.000
0.252 0.748 0.500
0.748 0.252 0.500
0.252 0.748 0.000
0.233 0.233 0.500
0.000 0.500 0.750
0.000 0.500 0.250
0.767 0.767 0.000
0.767 0.767 0.500
0.500 0.000 0.750
0.500 0.000 0.250
0.233 0.233 0.000
0.500 0.500 0.250
0.500 0.500 0.750
```


Here is crystalline V4Re5W at its relaxed geometry from Alexandria. Energies are from GGA-PBE.

Calculated values
Its total energy is -114.41 eV per cell. The density of states at the Fermi level comes out at 5.53 states/eV/cell. For the formation energy, the calculation gives -274 meV per atom.

```
V4Re5W
1.0
3.061 0.000 0.000
0.000 3.061 0.000
0.000 0.000 15.345
V Re W
4 5 1
direct
0.000 0.000 0.795
0.000 0.000 0.205
0.000 0.000 0.402
0.000 0.000 0.598
0.500 0.500 0.106
0.500 0.500 0.303
0.500 0.500 0.500
0.500 0.500 0.697
0.500 0.500 0.894
0.000 0.000 0.000
```


Here is crystalline V3Re3W2 at its relaxed geometry from Alexandria. Energies are from GGA-PBE.

Calculated values
Its total energy is -179.36 eV per cell. The density of states at the Fermi level comes out at 15.17 states/eV/cell. For the formation energy, the calculation gives 116 meV per atom.

```
V3Re3W2
1.0
4.255 0.000 0.000
-2.128 4.557 0.000
0.000 0.000 12.831
W V Re
4 6 6
direct
0.809 0.618 0.640
0.191 0.382 0.140
0.809 0.618 0.860
0.191 0.382 0.360
0.515 0.029 0.750
0.485 0.971 0.250
0.636 0.271 0.028
0.364 0.729 0.972
0.364 0.729 0.528
0.636 0.271 0.472
0.758 0.517 0.250
0.917 0.835 0.416
0.242 0.483 0.750
0.917 0.835 0.084
0.083 0.165 0.916
0.083 0.165 0.584
```


Here is crystalline V7Re2W2 at its relaxed geometry from Alexandria. Energies are from GGA-PBE.

Calculated values
Its total energy is -113.24 eV per cell. The density of states at the Fermi level comes out at 12.04 states/eV/cell. For the formation energy, the calculation gives 127 meV per atom.

```
V7Re2W2
1.0
-6.980 2.279 -0.217
-0.766 -2.486 -4.265
-1.034 -2.499 4.200
V W Re
7 2 2
direct
0.160 0.595 0.112
0.840 0.888 0.405
0.328 0.171 0.171
0.160 0.112 0.595
0.672 0.829 0.829
0.840 0.405 0.888
0.000 0.000 0.000
0.500 0.749 0.251
0.500 0.251 0.749
0.681 0.322 0.322
0.319 0.678 0.678
```


Here is crystalline V7Re3W at its relaxed geometry from Alexandria. Energies are from GGA-PBE.

Calculated values
Its total energy is -221.05 eV per cell. The density of states at the Fermi level comes out at 20.19 states/eV/cell. For the formation energy, the calculation gives 327 meV per atom.

```
V7Re3W
1.0
2.532 0.000 0.000
-1.266 9.170 0.000
0.000 0.000 14.331
V W Re
14 2 6
direct
0.495 0.991 0.915
0.621 0.242 0.655
0.249 0.498 0.085
0.365 0.731 0.750
0.621 0.242 0.845
0.751 0.502 0.585
0.495 0.991 0.585
0.751 0.502 0.915
0.379 0.758 0.155
0.505 0.009 0.415
0.505 0.009 0.085
0.249 0.498 0.415
0.635 0.269 0.250
0.379 0.758 0.345
0.001 0.003 0.250
0.999 0.997 0.750
0.232 0.464 0.750
0.876 0.751 0.985
0.124 0.249 0.485
0.768 0.536 0.250
0.876 0.751 0.515
0.124 0.249 0.015
```


Here is crystalline V6ReW at its relaxed geometry from Alexandria. Energies are from GGA-PBE.

Calculated values
The offset from the most stable computed form comes out at 0.000 eV per atom. Its total energy is -81.31 eV per cell. The density of states at the Fermi level comes out at 10.49 states/eV/cell. For the formation energy, the calculation gives -149 meV per atom.

```
V6ReW
1.0
-1.710 -3.075 2.449
4.217 -3.007 -0.831
0.797 2.952 4.263
V Re W
6 1 1
direct
0.000 0.628 0.372
0.000 0.628 0.878
0.500 0.871 0.129
0.500 0.875 0.625
0.000 0.122 0.372
0.500 0.375 0.125
0.000 0.123 0.877
0.500 0.378 0.622
```